# 1
{
  "formula": "Th2Co2Ge",
  "functional": "PBE-GGA",
  "state": "relaxed",
  "lattice": [[4.2818, 0.0000, 0.0000], [0.0000, 5.5226, 0.0000], [0.0000, 0.0000, 8.1679]],
  "species": ["Th", "Th", "Th", "Th", "Co", "Co", "Co", "Co", "Ge", "Ge"],
  "frac_coords": [[0.0000, 0.0000, 0.2040], [0.0000, 0.0000, 0.7960], [0.5000, 0.5000, 0.2960], [0.5000, 0.5000, 0.7040], [0.0000, 0.2581, 0.5000], [0.0000, 0.7419, 0.5000], [0.5000, 0.2419, 0.0000], [0.5000, 0.7581, 0.0000], [0.0000, 0.5000, 0.0000], [0.5000, 0.0000, 0.5000]],
  "final_energy_ev_per_atom": -7.2098
}


# 2
{
  "formula": "La2CdHgN",
  "functional": "PBE-GGA",
  "state": "relaxed",
  "lattice": [[5.0375, 0.0000, 0.0000], [0.0000, 5.0375, 0.0000], [0.0000, 0.0000, 4.8362]],
  "species": ["La", "La", "Cd", "Hg", "N"],
  "frac_coords": [[0.0000, 0.5000, 0.0000], [0.5000, 0.0000, 0.0000], [0.0000, 0.0000, 0.5000], [0.5000, 0.5000, 0.5000], [0.0000, 0.0000, 0.0000]],
  "formation_energy_uncorrected_ev_per_atom": -0.57
}


# 3
{
  "formula": "LiTlCd2Hg4",
  "functional": "PBE-GGA",
  "state": "relaxed",
  "lattice": [[2.5489, 1.4716, 8.6470], [-2.5489, 1.4716, 8.6470], [0.0000, -2.9432, 8.6470]],
  "species": ["Li", "Tl", "Cd", "Cd", "Hg", "Hg", "Hg", "Hg"],
  "frac_coords": [[0.0000, 0.0000, 0.0000], [0.5000, 0.5000, 0.5000], [0.2499, 0.2499, 0.2499], [0.7501, 0.7501, 0.7501], [0.1138, 0.1138, 0.1138], [0.3680, 0.3680, 0.3680], [0.6320, 0.6320, 0.6320], [0.8862, 0.8862, 0.8862]],
  "final_energy_ev_per_atom": -0.9997
}